(1)
RbLiTeAu: optimized geometry, PBE.

Cell lengths 4.099, 4.099, 14.027 Å; angles 90.00, 90.00, 90.00 degrees
Element x y z (fractional)
Rb1 0.250 0.250 0.215
Rb2 0.750 0.750 0.785
Li1 0.250 0.750 0.500
Li2 0.750 0.250 0.500
Te1 0.250 0.250 0.630
Te2 0.750 0.750 0.370
Au1 0.250 0.750 0.000
Au2 0.750 0.250 0.000

## Properties
Calculated total energy   -23.49 eV/cell
Space group   P4/nmm, No. 129
ΔE_f (raw)   -236 kJ/mol of formula units
Density   5876 kg/m3

(2)
Cu2SeBr: optimized geometry, PBE.

Cell lengths 7.158, 7.012, 7.598 Å; angles 90.00, 90.07, 90.00 degrees
Element x y z (fractional)
Cu1 0.140 0.122 0.250
Cu2 0.140 0.378 0.750
Cu3 0.331 0.722 0.513
Cu4 0.331 0.778 0.013
Cu5 0.669 0.222 0.987
Cu6 0.669 0.278 0.487
Cu7 0.860 0.622 0.250
Cu8 0.860 0.878 0.750
Se1 0.147 0.714 0.766
Se2 0.147 0.786 0.266
Se3 0.853 0.214 0.734
Se4 0.853 0.286 0.234
Br1 0.335 0.230 0.989
Br2 0.335 0.270 0.489
Br3 0.665 0.730 0.511
Br4 0.665 0.770 0.011

## Properties
Calculated total energy   -56.14 eV/cell
Space group   P2_1/c, No. 14
Relative energy among the computed polymorphs   25 meV/atom
ΔE_f (raw)   -66 kJ/mol of formula units
Density   4981 kg/m3

(3)
HfRhAu4: optimized geometry, PBE.

Cell lengths 5.066, 5.066, 5.105 Å; angles 101.73, 101.73, 118.98 degrees
Element x y z (fractional)
Hf1 0.000 0.000 0.000
Rh1 0.500 0.500 0.500
Au1 0.165 0.835 0.500
Au2 0.335 0.665 0.000
Au3 0.665 0.335 0.000
Au4 0.835 0.165 0.500

## Properties
Calculated total energy   -32.25 eV/cell
Space group   C2/m, No. 12
E_form   -0.306 eV/atom
Density   16907 kg/m3

(4)
TiCd2RhW: optimized geometry, PBE.

Cell lengths 5.055, 5.055, 4.449 Å; angles 90.00, 90.00, 90.00 degrees
Element x y z (fractional)
Ti1 0.000 0.000 0.000
Cd1 0.000 0.500 0.000
Cd2 0.500 0.000 0.000
Rh1 0.500 0.500 0.500
W1 0.000 0.000 0.500

## Properties
Calculated total energy   -22.13 eV/cell
Space group   P4/mmm, No. 123
E_form   1.579 eV/atom
Density   8171 kg/m3

(5)
AgIrRh: optimized geometry, PBE.

Cell lengths 7.601, 7.351, 2.741 Å; angles 84.64, 74.32, 21.04 degrees
Element x y z (fractional)
Ag1 0.000 0.000 0.000
Ir1 0.674 0.674 0.326
Rh1 0.328 0.328 0.672

## Properties
Calculated total energy   -18.08 eV/cell
Space group   Fmm2, No. 42
Relative energy among the computed polymorphs   140 meV/atom
E_form   0.329 eV/atom
Density   14233 kg/m3

(6)
EuHoTlPd: optimized geometry, PBE.

Cell lengths 5.256, 5.256, 5.256 Å; angles 60.00, 60.00, 60.00 degrees
Element x y z (fractional)
Eu1 0.000 0.000 0.000
Ho1 0.500 0.500 0.500
Tl1 0.250 0.250 0.250
Pd1 0.750 0.750 0.750

## Properties
Calculated total energy   -24.29 eV/cell
Space group   F-43m, No. 216
E_form   -0.470 eV/atom
Density   10151 kg/m3

(7)
Ta2W3: optimized geometry, PBE.

Cell lengths 5.351, 5.351, 5.351 Å; angles 134.81, 118.27, 79.72 degrees
Element x y z (fractional)
Ta1 0.197 0.197 0.000
Ta2 0.803 0.803 0.000
W1 0.233 0.500 0.733
W2 0.500 0.000 0.500
W3 0.767 0.500 0.267

## Properties
Calculated total energy   -59.71 eV/cell
Space group   Immm, No. 71
Relative energy among the computed polymorphs   674 meV/atom
E_form   0.571 eV/atom
Density   16361 kg/m3

(8)
Mo2IrRh3: optimized geometry, PBE.

Cell lengths 12.314, 12.307, 3.923 Å; angles 80.94, 80.73, 18.34 degrees
Element x y z (fractional)
Mo1 0.249 0.751 0.249
Mo2 0.250 0.250 0.250
Mo3 0.750 0.750 0.750
Mo4 0.751 0.249 0.751
Ir1 0.174 0.174 0.826
Ir2 0.826 0.826 0.174
Rh1 0.173 0.674 0.827
Rh2 0.326 0.827 0.674
Rh3 0.328 0.328 0.672
Rh4 0.672 0.672 0.328
Rh5 0.674 0.173 0.326
Rh6 0.827 0.326 0.173

## Properties
Calculated total energy   -105.63 eV/cell
Space group   Fmmm, No. 69
Relative energy among the computed polymorphs   0 meV/atom
E_form   -0.039 eV/atom
Density   12464 kg/m3

(9)
P2PdO6: optimized geometry, PBE.

Cell lengths 7.666, 7.666, 4.678 Å; angles 95.04, 95.04, 105.76 degrees
Element x y z (fractional)
P1 0.156 0.309 0.447
P2 0.309 0.156 0.947
P3 0.691 0.844 0.053
P4 0.844 0.691 0.553
Pd1 0.272 0.728 0.750
Pd2 0.728 0.272 0.250
O1 0.042 0.728 0.503
O2 0.168 0.235 0.121
O3 0.235 0.168 0.621
O4 0.272 0.958 0.997
O5 0.283 0.499 0.510
O6 0.499 0.283 0.010
O7 0.501 0.717 0.990
O8 0.717 0.501 0.490
O9 0.728 0.042 0.003
O10 0.765 0.832 0.379
O11 0.832 0.765 0.879
O12 0.958 0.272 0.497

## Properties
Calculated total energy   -121.58 eV/cell
Space group   C2/c, No. 15
ΔE_f (raw)   -1450 kJ/mol of formula units
Density   3354 kg/m3

(10)
Tl3ZnCr: optimized geometry, PBE.

Cell lengths 5.316, 5.316, 5.316 Å; angles 90.00, 90.00, 90.00 degrees
Element x y z (fractional)
Tl1 0.000 0.000 0.500
Tl2 0.000 0.500 0.000
Tl3 0.500 0.000 0.000
Zn1 0.000 0.000 0.000
Cr1 0.500 0.500 0.500

## Properties
Calculated total energy   -14.55 eV/cell
Space group   Pm-3m, No. 221
Relative energy among the computed polymorphs   144 meV/atom
E_form   0.690 eV/atom
Density   8077 kg/m3

(11)
AcMg6In12: optimized geometry, PBE.

Cell lengths 8.374, 8.374, 8.374 Å; angles 104.70, 104.70, 104.70 degrees
Element x y z (fractional)
Ac1 0.000 0.000 0.000
Mg1 0.291 0.698 0.698
Mg2 0.302 0.302 0.709
Mg3 0.302 0.709 0.302
Mg4 0.698 0.291 0.698
Mg5 0.698 0.698 0.291
Mg6 0.709 0.302 0.302
In1 0.110 0.500 0.890
In2 0.110 0.890 0.500
In3 0.127 0.373 0.373
In4 0.373 0.127 0.373
In5 0.373 0.373 0.127
In6 0.500 0.110 0.890
In7 0.500 0.890 0.110
In8 0.627 0.627 0.873
In9 0.627 0.873 0.627
In10 0.873 0.627 0.627
In11 0.890 0.110 0.500
In12 0.890 0.500 0.110

## Properties
Calculated total energy   -47.13 eV/cell
Space group   R-3m, No. 166
E_form   -0.031 eV/atom
Density   5627 kg/m3

(12)
TbDy4Cu: optimized geometry, PBE.

Cell lengths 3.508, 3.508, 13.700 Å; angles 90.00, 90.00, 90.00 degrees
Element x y z (fractional)
Tb1 0.000 0.000 0.000
Dy1 0.000 0.000 0.375
Dy2 0.000 0.000 0.625
Dy3 0.500 0.500 0.184
Dy4 0.500 0.500 0.816
Cu1 0.500 0.500 0.500

## Properties
Calculated total energy   -27.48 eV/cell
Space group   P4/mmm, No. 123
E_form   -0.057 eV/atom
Density   8593 kg/m3

(13)
Pr5Tl2Rh2Au: optimized geometry, PBE.

Cell lengths 12.102, 12.102, 3.802 Å; angles 90.00, 90.00, 90.00 degrees
Element x y z (fractional)
Pr1 0.000 0.500 0.000
Pr2 0.078 0.200 0.000
Pr3 0.200 0.922 0.000
Pr4 0.300 0.422 0.000
Pr5 0.422 0.700 0.000
Pr6 0.500 0.000 0.000
Pr7 0.578 0.300 0.000
Pr8 0.700 0.578 0.000
Pr9 0.800 0.078 0.000
Pr10 0.922 0.800 0.000
Tl1 0.173 0.673 0.500
Tl2 0.327 0.173 0.500
Tl3 0.673 0.827 0.500
Tl4 0.827 0.327 0.500
Rh1 0.133 0.367 0.500
Rh2 0.367 0.867 0.500
Rh3 0.633 0.133 0.500
Rh4 0.867 0.633 0.500
Au1 0.000 0.000 0.500
Au2 0.500 0.500 0.500

## Properties
Calculated total energy   -104.22 eV/cell
Space group   P4/mbm, No. 127
E_form   -0.550 eV/atom
Density   9042 kg/m3

(14)
Tl2GaRu2: optimized geometry, PBE.

Cell lengths 6.641, 6.641, 6.641 Å; angles 142.38, 142.38, 54.26 degrees
Element x y z (fractional)
Tl1 0.250 0.750 0.500
Tl2 0.750 0.250 0.500
Ga1 0.000 0.000 0.000
Ru1 0.402 0.402 0.000
Ru2 0.598 0.598 0.000

## Properties
Calculated total energy   -22.17 eV/cell
Space group   I4/mmm, No. 139
Relative energy among the computed polymorphs   622 meV/atom
E_form   0.828 eV/atom
Density   10426 kg/m3

(15)
LiBe2Ru: optimized geometry, PBE.

Cell lengths 2.462, 3.726, 4.806 Å; angles 90.00, 90.00, 90.00 degrees
Element x y z (fractional)
Li1 0.000 0.000 0.000
Be1 0.000 0.000 0.499
Be2 0.500 0.500 0.765
Ru1 0.500 0.500 0.282

## Properties
Calculated total energy   -18.15 eV/cell
Space group   Pmm2, No. 25
E_form   0.122 eV/atom
Density   4747 kg/m3

(16)
NiSe2Br: optimized geometry, PBE.

Cell lengths 12.753, 12.753, 3.999 Å; angles 90.00, 90.00, 163.52 degrees
Element x y z (fractional)
Ni1 0.193 0.807 0.750
Ni2 0.807 0.193 0.250
Se1 0.290 0.710 0.750
Se2 0.366 0.634 0.250
Se3 0.634 0.366 0.750
Se4 0.710 0.290 0.250
Br1 0.443 0.557 0.750
Br2 0.557 0.443 0.250

## Properties
Calculated total energy   -28.72 eV/cell
Space group   Cmcm, No. 63
Relative energy among the computed polymorphs   253 meV/atom
ΔE_f (raw)   6 kJ/mol of formula units
Density   5337 kg/m3

(17)
U4TlSe8: optimized geometry, PBE.

Cell lengths 8.267, 8.267, 10.721 Å; angles 124.88, 124.88, 60.03 degrees
Element x y z (fractional)
U1 0.244 0.244 0.989
U2 0.248 0.752 0.000
U3 0.752 0.248 0.000
U4 0.756 0.756 0.011
Tl1 0.500 0.500 0.500
Se1 0.016 0.016 0.196
Se2 0.019 0.507 0.194
Se3 0.492 0.492 0.812
Se4 0.493 0.981 0.806
Se5 0.507 0.019 0.194
Se6 0.508 0.508 0.188
Se7 0.981 0.493 0.806
Se8 0.984 0.984 0.804

## Properties
Calculated total energy   -89.31 eV/cell
Space group   C2/m, No. 12
Relative energy among the computed polymorphs   0 meV/atom
ΔE_f (raw)   -1342 kJ/mol of formula units
Density   6230 kg/m3

(18)
Pa3Co4: optimized geometry, PBE.

Cell lengths 9.501, 9.501, 9.501 Å; angles 158.45, 157.16, 31.60 degrees
Element x y z (fractional)
Pa1 0.000 0.000 0.000
Pa2 0.323 0.823 0.500
Pa3 0.677 0.177 0.500
Co1 0.163 0.663 0.500
Co2 0.435 0.435 0.000
Co3 0.565 0.565 0.000
Co4 0.837 0.337 0.500

## Properties
Calculated total energy   -59.42 eV/cell
Space group   Immm, No. 71
Relative energy among the computed polymorphs   10 meV/atom
E_form   -0.358 eV/atom
Density   12623 kg/m3

(19)
Rb2ErInF6: optimized geometry, PBE.

Cell lengths 6.612, 6.806, 11.478 Å; angles 90.00, 124.96, 90.00 degrees
Element x y z (fractional)
Rb1 0.235 0.042 0.247
Rb2 0.235 0.458 0.747
Rb3 0.765 0.542 0.253
Rb4 0.765 0.958 0.753
Er1 0.500 0.000 0.000
Er2 0.500 0.500 0.500
In1 0.000 0.000 0.500
In2 0.000 0.500 0.000
F1 0.195 0.181 0.960
F2 0.195 0.319 0.460
F3 0.264 0.743 0.938
F4 0.264 0.757 0.438
F5 0.377 0.047 0.781
F6 0.377 0.453 0.281
F7 0.623 0.547 0.719
F8 0.623 0.953 0.219
F9 0.736 0.243 0.562
F10 0.736 0.257 0.062
F11 0.805 0.681 0.540
F12 0.805 0.819 0.040

## Properties
Calculated total energy   -103.06 eV/cell
Space group   P2_1/c, No. 14
ΔE_f (raw)   -2997 kJ/mol of formula units
Density   4449 kg/m3

(20)
NaCdH2: optimized geometry, PBE.

Cell lengths 5.360, 5.360, 5.360 Å; angles 39.59, 39.59, 39.59 degrees
Element x y z (fractional)
Na1 0.000 0.000 0.000
Cd1 0.500 0.500 0.500
H1 0.240 0.240 0.240
H2 0.760 0.760 0.760

## Properties
Calculated total energy   -8.12 eV/cell
Space group   R-3m, No. 166
Relative energy among the computed polymorphs   227 meV/atom
Density   4053 kg/m3

(21)
ErTm4Sn: optimized geometry, PBE.

Cell lengths 8.317, 8.317, 8.317 Å; angles 114.36, 114.36, 100.09 degrees
Element x y z (fractional)
Er1 0.000 0.000 0.000
Er2 0.750 0.250 0.500
Tm1 0.010 0.333 0.324
Tm2 0.010 0.686 0.676
Tm3 0.083 0.260 0.824
Tm4 0.436 0.260 0.176
Tm5 0.487 0.166 0.679
Tm6 0.487 0.808 0.321
Tm7 0.558 0.737 0.821
Tm8 0.916 0.737 0.179
Sn1 0.252 0.752 0.500
Sn2 0.502 0.502 0.000

## Properties
Calculated total energy   -46.20 eV/cell
Space group   I4_1md, No. 109
E_form   0.558 eV/atom
Density   7357 kg/m3

(22)
MnSb2I8: optimized geometry, PBE.

Cell lengths 10.940, 10.940, 11.037 Å; angles 91.76, 91.76, 21.58 degrees
Element x y z (fractional)
Mn1 0.000 0.000 0.000
Sb1 0.351 0.351 0.744
Sb2 0.649 0.649 0.256
I1 0.097 0.097 0.434
I2 0.135 0.135 0.034
I3 0.258 0.258 0.292
I4 0.495 0.495 0.183
I5 0.505 0.505 0.817
I6 0.742 0.742 0.708
I7 0.865 0.865 0.966
I8 0.903 0.903 0.566

## Properties
Calculated total energy   -32.97 eV/cell
Space group   C2/m, No. 12
Relative energy among the computed polymorphs   0 meV/atom
ΔE_f (raw)   -304 kJ/mol of formula units
Density   4493 kg/m3

(23)
La3YTm2P6: optimized geometry, PBE.

Cell lengths 7.145, 7.145, 7.137 Å; angles 99.60, 99.60, 120.00 degrees
Element x y z (fractional)
La1 0.000 0.000 0.000
La2 0.334 0.666 0.000
La3 0.666 0.334 0.000
Y1 0.500 0.500 0.500
Tm1 0.167 0.833 0.500
Tm2 0.833 0.167 0.500
P1 0.086 0.422 0.266
P2 0.242 0.242 0.734
P3 0.422 0.086 0.266
P4 0.578 0.914 0.734
P5 0.758 0.758 0.266
P6 0.914 0.578 0.734

## Properties
Calculated total energy   -81.56 eV/cell
Space group   C2/m, No. 12
E_form   -1.576 eV/atom
Density   5746 kg/m3